A plane-wave DFT calculation with PBE-GGA was carried out for a geometry-optimized Na6TeI2O structure.

ΔE_f (raw), eV/atom: -1.106
D(E_F), states/eV per atom: 0.00
Total energy, eV per atom: -3.02
M_tot, μB per formula unit: 0.01
Crystal system: orthorhombic
Symmetry: Pmmn, No. 59

Unit cell a=7.0968 b=10.4420 c=8.0143 alpha=90.00 beta=90.00 gamma=90.00
Fractional coordinates of all 20 atoms:
Na (0.0061, 0.2500, 0.1014)
Na (0.0215, 0.2500, 0.5053)
Na (0.2500, 0.0282, 0.2959)
Na (0.2500, 0.4718, 0.2959)
Na (0.4785, 0.2500, 0.5053)
Na (0.4939, 0.2500, 0.1014)
Na (0.5061, 0.7500, 0.8986)
Na (0.5215, 0.7500, 0.4947)
Na (0.7500, 0.5282, 0.7041)
Na (0.7500, 0.9718, 0.7041)
Na (0.9785, 0.7500, 0.4947)
Na (0.9939, 0.7500, 0.8986)
Te (0.2500, 0.7500, 0.1960)
Te (0.7500, 0.2500, 0.8040)
I (0.2500, 0.5246, 0.6939)
I (0.2500, 0.9754, 0.6939)
I (0.7500, 0.0246, 0.3061)
I (0.7500, 0.4754, 0.3061)
O (0.2500, 0.2500, 0.2906)
O (0.7500, 0.7500, 0.7094)



A plane-wave DFT calculation with PBE-GGA was carried out for a geometry-optimized NaTeI2O structure.

ΔE_f (raw), eV/atom: -0.165
D(E_F), states/eV per atom: 0.36
E above lowest polymorph, kJ per mole of atoms: 40.82
Total energy, eV per atom: -2.67
M_tot, μB per formula unit: 0.00
Crystal system: tetragonal
Symmetry: P4/mmm, No. 123

Unit cell a=5.3867 b=5.3867 c=4.6207 alpha=90.00 beta=90.00 gamma=90.00
Fractional coordinates of all 5 atoms:
Na (0.0000, 0.0000, 0.0000)
Te (0.5000, 0.5000, 0.0000)
I (0.0000, 0.5000, 0.5000)
I (0.5000, 0.0000, 0.5000)
O (0.5000, 0.5000, 0.5000)



A plane-wave DFT calculation with PBE-GGA was carried out for a geometry-optimized NaTeI2O structure.

ΔE_f (raw), eV/atom: 0.284
D(E_F), states/eV per atom: 2.18
E above lowest polymorph, kJ per mole of atoms: 84.15
Total energy, eV per atom: -2.22
M_tot, μB per formula unit: 0.07
Crystal system: tetragonal
Symmetry: P4/mmm, No. 123

Unit cell a=5.8026 b=5.8026 c=4.1646 alpha=90.00 beta=90.00 gamma=90.00
Fractional coordinates of all 5 atoms:
Na (0.0000, 0.0000, 0.0000)
Te (0.5000, 0.5000, 0.5000)
I (0.0000, 0.5000, 0.0000)
I (0.5000, 0.0000, 0.0000)
O (0.0000, 0.0000, 0.5000)



A plane-wave DFT calculation with PBE-GGA was carried out for a geometry-optimized NaTeIO2 structure.

ΔE_f (raw), eV/atom: 0.420
D(E_F), states/eV per atom: 0.95
E above lowest polymorph, kJ per mole of atoms: 112.07
Total energy, eV per atom: -2.77
M_tot, μB per formula unit: 3.32
Crystal system: tetragonal
Symmetry: P4/mmm, No. 123

Unit cell a=4.4916 b=4.4916 c=6.2422 alpha=90.00 beta=90.00 gamma=90.00
Fractional coordinates of all 5 atoms:
Na (0.0000, 0.0000, 0.0000)
Te (0.5000, 0.5000, 0.5000)
I (0.0000, 0.0000, 0.5000)
O (0.0000, 0.5000, 0.0000)
O (0.5000, 0.0000, 0.0000)



A plane-wave DFT calculation with PBE-GGA was carried out for a geometry-optimized NaTeI2O structure.

ΔE_f (raw), eV/atom: -0.588
D(E_F), states/eV per atom: 0.11
E above lowest polymorph, kJ per mole of atoms: 0.00
Total energy, eV per atom: -3.09
M_tot, μB per formula unit: 0.00
Crystal system: tetragonal
Symmetry: P4/mmm, No. 123

Unit cell a=6.2837 b=6.2837 c=4.1244 alpha=90.00 beta=90.00 gamma=90.00
Fractional coordinates of all 5 atoms:
Na (0.0000, 0.0000, 0.0000)
Te (0.5000, 0.5000, 0.5000)
I (0.0000, 0.5000, 0.5000)
I (0.5000, 0.0000, 0.5000)
O (0.5000, 0.5000, 0.0000)



A plane-wave DFT calculation with PBE-GGA was carried out for a geometry-optimized NaTeIO2 structure.

ΔE_f (raw), eV/atom: -0.742
D(E_F), states/eV per atom: 0.10
E above lowest polymorph, kJ per mole of atoms: 0.00
Total energy, eV per atom: -3.93
M_tot, μB per formula unit: 0.00
Crystal system: tetragonal
Symmetry: P4/mmm, No. 123

Unit cell a=4.1769 b=4.1769 c=6.5583 alpha=90.00 beta=90.00 gamma=90.00
Fractional coordinates of all 5 atoms:
Na (0.0000, 0.0000, 0.0000)
Te (0.5000, 0.5000, 0.5000)
I (0.5000, 0.5000, 0.0000)
O (0.0000, 0.5000, 0.5000)
O (0.5000, 0.0000, 0.5000)



A plane-wave DFT calculation with PBE-GGA was carried out for a geometry-optimized NaTeI2O structure.

ΔE_f (raw), eV/atom: 0.821
D(E_F), states/eV per atom: 2.49
E above lowest polymorph, kJ per mole of atoms: 135.96
Total energy, eV per atom: -1.68
M_tot, μB per formula unit: 0.01
Crystal system: tetragonal
Symmetry: P4/mmm, No. 123

Unit cell a=5.7629 b=5.7629 c=5.7426 alpha=90.00 beta=90.00 gamma=90.00
Fractional coordinates of all 5 atoms:
Na (0.0000, 0.0000, 0.0000)
Te (0.0000, 0.0000, 0.5000)
I (0.0000, 0.5000, 0.0000)
I (0.5000, 0.0000, 0.0000)
O (0.5000, 0.5000, 0.5000)



A plane-wave DFT calculation with PBE-GGA was carried out for a geometry-optimized NaTiIO2 structure.

ΔE_f (raw), eV/atom: 0.391
D(E_F), states/eV per atom: 1.94
E above lowest polymorph, kJ per mole of atoms: 205.42
Total energy, eV per atom: -3.74
M_tot, μB per formula unit: 0.03
Crystal system: tetragonal
Symmetry: P4/mmm, No. 123

Unit cell a=4.1775 b=4.1775 c=5.2225 alpha=90.00 beta=90.00 gamma=90.00
Fractional coordinates of all 5 atoms:
Na (0.0000, 0.0000, 0.0000)
Ti (0.5000, 0.5000, 0.5000)
I (0.0000, 0.0000, 0.5000)
O (0.0000, 0.5000, 0.0000)
O (0.5000, 0.0000, 0.0000)